(1)
U5V | the Alexandria database | PBE | optimized geometry; uncorrected energy = -10.737 eV/atom; formation energy = 189 meV per atom; D(E_F) = 18.3 states/eV/f.u.
1.0
3.685 0.000 0.000
0.000 13.182 0.000
0.000 0.000 4.801
U V
10 2
Direct
0.000 0.000 0.000
0.000 0.178 0.500
0.000 0.354 0.000
0.000 0.646 0.000
0.000 0.822 0.500
0.500 0.146 0.000
0.500 0.322 0.500
0.500 0.500 0.000
0.500 0.678 0.500
0.500 0.854 0.000
0.000 0.500 0.500
0.500 0.000 0.500

---

(2)
U6V | the Alexandria database | PBE | optimized geometry; uncorrected energy = -9.683 eV/atom; formation energy = 1295 meV per atom; D(E_F) = 23.9 states/eV/f.u.
1.0
7.092 0.000 0.000
0.000 7.092 0.000
0.000 0.000 7.092
U V
12 2
Direct
0.000 0.250 0.500
0.000 0.500 0.250
0.000 0.500 0.750
0.000 0.750 0.500
0.250 0.000 0.500
0.250 0.500 0.000
0.500 0.000 0.250
0.500 0.000 0.750
0.500 0.250 0.000
0.500 0.750 0.000
0.750 0.000 0.500
0.750 0.500 0.000
0.000 0.000 0.000
0.500 0.500 0.500

---

(3)
U2VW | the Alexandria database | PBE | optimized geometry; uncorrected energy = -10.535 eV/atom; distance to the lowest polymorph of the same formula = 114.4 meV/atom; formation energy = 627 meV per atom; D(E_F) = 7.4 states/eV/f.u.
1.0
2.853 0.000 0.000
-1.426 2.471 0.000
0.000 0.000 31.516
U V W
6 3 3
Direct
0.000 0.000 0.089
0.000 0.000 0.911
0.333 0.667 0.578
0.333 0.667 0.756
0.667 0.333 0.244
0.667 0.333 0.422
0.000 0.000 0.500
0.333 0.667 0.167
0.667 0.333 0.833
0.000 0.000 0.000
0.333 0.667 0.667
0.667 0.333 0.333